VASP calculation (SCAN) on a PBEsol-optimized structure of LiFe2Co.

Cell: 2.4506 2.4506 25.4487 Å, 90.00 90.00 120.00°
Space group R-3m (No. 166, hexagonal axes)
Asymmetric unit:
Li1 0.0000 0.0000 0.0000 [3 per cell]
Fe1 0.0000 0.0000 0.2454 [6 per cell]
Co1 0.0000 0.0000 0.5000 [3 per cell]

DFT formation energy = 0.169 eV/atom
final energy = -55.28 eV/f.u.